Entry 1:
Below is crystalline Mg2ZrAg at its relaxed geometry, with properties calculated at the PBE level.

Output
Density of states at the Fermi level, states/eV/f.u.: 3.54
Total moment, μB/cell: 0.00
Calculated total energy, Ry/atom: -0.24765

a = 7.7698 Å, b = 7.7698 Å, c = 5.8797 Å
α = 90.00°, β = 90.00°, γ = 90.00°
Space group I-42d (No. 122)
One atom of each set of equivalent atoms:
Mg1 0.2124 0.2500 0.1250 (multiplicity 8)
Zr1 0.0000 0.0000 0.5000 (multiplicity 4)
Ag1 0.0000 0.0000 0.0000 (multiplicity 4)

---

Entry 2:
Below is crystalline Mg2ZrAg3 at its relaxed geometry, with properties calculated at the PBE level.

Output
Density of states at the Fermi level, states/eV/f.u.: 3.23
Total moment, μB/cell: 0.00
Calculated total energy, Ry/atom: -0.26028

a = 3.2611 Å, b = 3.2611 Å, c = 10.7785 Å
α = 90.00°, β = 90.00°, γ = 90.00°
Space group P4/mmm (No. 123)
One atom of each set of equivalent atoms:
Mg1 0.0000 0.0000 0.1628 (multiplicity 2)
Zr1 0.0000 0.0000 0.5000 (multiplicity 1)
Ag1 0.5000 0.5000 0.0000 (multiplicity 1)
Ag2 0.5000 0.5000 0.3193 (multiplicity 2)

---

Q: Which E_form values were calculated for the entries above? A: 6.4, -3.7, in kcal/mol of atoms.